3
Lattice="3.667 0.000 0.000 -1.834 3.176 0.000 0.000 0.000 6.645" Properties=species:S:1:pos:R:3 comment="AcYN, optimized geometry, DFT PBE-GGA" volume_a3_per_cell=77.4 e_above_lowest_polymorph_mev_per_atom=0 raw_formation_energy_ev_per_atom=-0.8011 spacegroup=P3m1 pbc="T T T"
Ac 0.000 0.000 0.000
Y 1.834 1.059 3.777
N 0.000 2.117 4.856